1.
A plane-wave DFT calculation with PBE was carried out for TlFeAs2 after structural relaxation.

energy of formation = 0.04 eV per atom
E = -4.996 eV/atom
total magnetic moment = 1.1 Bohr magnetons per cell
space group = P4/mmm
polymorph energy (0 for the lowest one) = 0.0 meV per atom

Lattice parameters (Å, degrees): 2.9946 2.9936 8.9360 90.00 90.00 90.00
Site moments in Bohr magnetons follow the coordinates.
Element x y z (fractional)
As 0.0000 0.0000 0.4092  -0.04
As 0.0000 0.0000 0.0908  -0.04
Tl 0.5000 0.5000 0.7500  0.00
Fe 0.5000 0.5000 0.2500  1.22

2.
A plane-wave DFT calculation with PBE was carried out for Mg17Cd11Pb after structural relaxation.

energy of formation = -0.05 eV per atom
E = -1.463 eV/atom
total magnetic moment = 0.0 Bohr magnetons per cell
space group = Cm

Lattice parameters (Å, degrees): 9.2544 9.2544 9.8616 108.69 108.69 110.34
Element x y z (fractional)
Cd 0.6285 0.0098 0.8129
Cd 0.1789 0.1789 0.8061
Cd 0.6231 0.8139 0.0000
Cd 0.9846 0.7904 0.6056
Cd 0.8168 0.2030 0.1888
Cd 0.2030 0.8168 0.1888
Cd 0.0098 0.6285 0.8129
Cd 0.1948 0.3925 0.4110
Cd 0.3925 0.1948 0.4110
Cd 0.7904 0.9846 0.6056
Cd 0.8139 0.6231 0.0000
Mg 0.6050 0.0033 0.3159
Mg 0.0032 0.3109 0.6001
Mg 0.6935 0.2847 0.6908
Mg 0.9922 0.3556 0.0061
Mg 0.6476 0.6476 0.6508
Mg 0.0001 0.0001 0.3196
Mg 0.4098 0.4098 0.7323
Mg 0.5949 0.3138 0.9967
Mg 0.3556 0.9922 0.0061
Mg 0.7217 0.4023 0.4054
Mg 0.0033 0.6050 0.3159
Mg 0.2847 0.6935 0.6908
Mg 0.6864 0.6864 0.2750
Mg 0.4023 0.7217 0.4054
Mg 0.9830 0.9830 0.9743
Mg 0.3138 0.5949 0.9967
Mg 0.3109 0.0032 0.6001
Pb 0.3555 0.3555 0.1752

3.
A plane-wave DFT calculation with PBE was carried out for AlGaAs3 after structural relaxation.

energy of formation = 0.49 eV per atom
E = -3.657 eV/atom
total magnetic moment = 0.0 Bohr magnetons per cell
space group = Pm-3m
polymorph energy (0 for the lowest one) = 0.0 meV per atom

Lattice parameters (Å, degrees): 4.9082 4.9082 4.9082 90.00 90.00 90.00
Element x y z (fractional)
Ga 0.5000 0.5000 0.5000
As 0.5000 0.0000 0.0000
As 0.0000 0.5000 0.0000
As 0.0000 0.0000 0.5000
Al 0.0000 0.0000 0.0000